Entry 1:
The following is a DFT calculation (PBE-GGA) of a relaxed PmSm2Tc crystal.

Output
- distance to the lowest polymorph of the same formula (meV/atom) = 1
- space-group type = Pnma (62)
- formation energy from the elements (eV/atom) = -0.01

```
16
Lattice="7.485 0.000 0.000 0.000 9.478 0.000 0.000 0.000 6.456" Properties=species:S:1:pos:R:3 pbc="T T T"
Pm 0.344 2.369 0.854
Pm 3.399 7.108 4.082
Pm 4.086 2.369 2.374
Pm 7.141 7.108 5.602
Sm 1.321 0.619 4.290
Sm 1.321 4.120 4.290
Sm 2.422 5.357 1.062
Sm 2.422 8.859 1.062
Sm 5.063 0.619 5.394
Sm 5.063 4.120 5.394
Sm 6.164 5.357 2.166
Sm 6.164 8.859 2.166
Tc 0.829 7.108 2.976
Tc 2.913 2.369 6.204
Tc 4.572 7.108 0.252
Tc 6.655 2.369 3.480
```



Entry 2:
The following is a DFT calculation (PBE-GGA) of a relaxed Tb11Dy9Y4 crystal.

Output
- space-group type = Cmmm (65)
- formation energy from the elements (eV/atom) = 0.06

```
24
Lattice="8.355 -12.664 0.000 8.355 12.664 0.000 0.000 0.000 3.652" Properties=species:S:1:pos:R:3 pbc="T T T"
Tb 0.000 0.000 0.000
Tb 3.747 4.593 0.000
Tb 8.355 8.591 0.000
Tb 4.838 0.000 0.000
Tb 8.355 3.365 0.000
Tb 3.747 -4.593 0.000
Tb 12.964 4.593 0.000
Tb 8.355 -3.365 0.000
Tb 11.872 0.000 0.000
Tb 8.355 -8.591 0.000
Tb 12.964 -4.593 0.000
Dy 2.338 1.854 1.826
Dy 6.648 5.907 1.826
Dy 2.338 -1.854 1.826
Dy 10.063 5.907 1.826
Dy 8.355 0.000 1.826
Dy 6.648 -5.907 1.826
Dy 14.372 1.854 1.826
Dy 10.063 -5.907 1.826
Dy 14.372 -1.854 1.826
Y 5.748 2.554 1.826
Y 5.748 -2.554 1.826
Y 10.963 2.554 1.826
Y 10.963 -2.554 1.826
```



Entry 3:
The following is a DFT calculation (PBE-GGA) of a relaxed Ca2TlHg8 crystal.

Output
- space-group type = C2/m (12)
- formation energy from the elements (eV/atom) = -0.25

```
11
Lattice="8.359 -2.493 0.000 8.359 2.493 0.000 -2.596 0.000 7.003" Properties=species:S:1:pos:R:3 pbc="T T T"
Ca 3.171 0.000 1.199
Ca 10.952 0.000 5.804
Tl 7.061 0.000 3.501
Hg -0.064 0.000 1.545
Hg 0.706 0.000 4.870
Hg 4.009 0.000 4.257
Hg 6.497 0.000 0.380
Hg 7.626 0.000 6.623
Hg 10.114 0.000 2.746
Hg 13.416 0.000 2.133
Hg 14.187 0.000 5.458
```



Entry 4:
The following is a DFT calculation (PBE-GGA) of a relaxed NdGd2I crystal.

Output
- raw formation energy (eV per formula unit) = -1.31
- distance to the lowest polymorph of the same formula (meV/atom) = 57
- space-group type = P4/mmm (123)

```
4
Lattice="3.707 0.000 0.000 0.000 3.707 0.000 0.000 0.000 9.651" Properties=species:S:1:pos:R:3 pbc="T T T"
Nd 0.000 0.000 0.000
Gd 1.853 1.853 2.497
Gd 1.853 1.853 7.155
I 0.000 0.000 4.826
```